(1)
Tb3Zn2Ni | PBE | optimized geometry

Magnetic moment: 0.00 Bohr magnetons per cell
DFT formation energy: -358 meV per atom
Energy relative to the lowest polymorph listed for this composition: 0.0 meV per atom

```
data_Tb3Zn2Ni
_space_group_name_H-M_alt 'P 4/m m m'
_space_group_IT_number 123
_space_group_name_Hall '-P 4 2'
_cell_length_a 3.516
_cell_length_b 3.516
_cell_length_c 10.564
_cell_angle_alpha 90.00
_cell_angle_beta 90.00
_cell_angle_gamma 90.00
loop_
_atom_site_label
_atom_site_fract_x
_atom_site_fract_y
_atom_site_fract_z
Tb1 0.000 0.000 0.000
Tb2 0.000 0.000 0.346
Zn1 0.500 0.500 0.169
Ni1 0.500 0.500 0.500
```

(2)
AcH6W | PBE | optimized geometry

Magnetic moment: 8.97 Bohr magnetons per cell
Electronic total energy: -4.647 eV/atom

```
data_AcH6W
_space_group_name_H-M_alt 'R -3 m'
_space_group_IT_number 166
_space_group_name_Hall '-R 3 2"'
_cell_length_a 4.8478
_cell_length_b 4.8478
_cell_length_c 13.2554
_cell_angle_alpha 90.00
_cell_angle_beta 90.00
_cell_angle_gamma 120.00
loop_
_atom_site_label
_atom_site_fract_x
_atom_site_fract_y
_atom_site_fract_z
Ac1 0.0000 0.0000 0.0000
H1 0.0145 0.5073 0.9152
W1 0.0000 0.0000 0.5000
```

Q: Which value of magnetic moment does entry 1 give?
A: 0.00 Bohr magnetons per cell